No. 1
{"formula": "Hf2GeB", "functional": "PBE", "state": "optimized geometry", "dft_energy_ev_per_atom": -8.403, "magmom_total_mub_per_fu": 0.0, "space_group": "No. 194", "lattice": [[3.4055, 0.0000, 0.0000], [-1.7028, 2.9493, 0.0000], [0.0000, 0.0000, 13.7077]], "species": ["Hf", "Hf", "Hf", "Hf", "Ge", "Ge", "B", "B"], "fractional_positions": [[0.3333, 0.6667, 0.0945], [0.3333, 0.6667, 0.4055], [0.6667, 0.3333, 0.5945], [0.6667, 0.3333, 0.9055], [0.3333, 0.6667, 0.7500], [0.6667, 0.3333, 0.2500], [0.0000, 0.0000, 0.0000], [0.0000, 0.0000, 0.5000]]}

---

No. 2
{"formula": "Nd2Ho2CCl5", "functional": "PBE", "state": "optimized geometry", "dft_energy_ev_per_atom": -5.405, "magmom_total_mub_per_fu": 0.2, "space_group": "No. 12", "lattice": [[8.6935, -1.8674, 0.0000], [8.6935, 1.8674, 0.0000], [-2.0341, 0.0000, 7.5641]], "species": ["Nd", "Nd", "Ho", "Ho", "C", "Cl", "Cl", "Cl", "Cl", "Cl"], "fractional_positions": [[0.1496, 0.1496, 0.0898], [0.8504, 0.8504, 0.9102], [0.4994, 0.4994, 0.2100], [0.5006, 0.5006, 0.7900], [0.0000, 0.0000, 0.0000], [0.0000, 0.0000, 0.5000], [0.3356, 0.3356, 0.1779], [0.3415, 0.3415, 0.6369], [0.6585, 0.6585, 0.3631], [0.6644, 0.6644, 0.8221]]}